Entry 1:
## LiGeOF2 (PBE-GGA)

Data for crystalline LiGeOF2 at its relaxed geometry.

extended XYZ file:
```
5
Lattice="3.5895 0.0000 0.0000 0.0000 3.5895 0.0000 0.0000 0.0000 4.0384" Properties=species:S:1:pos:R:3 pbc="T T T"
Li 0.0000 0.0000 0.0000
Ge 1.7947 1.7947 2.0192
O 0.0000 0.0000 2.0192
F 0.0000 1.7947 0.0000
F 1.7947 0.0000 0.0000
```

Computed properties:
**Relative energy among the computed polymorphs**: 0.4058 eV/atom
**Space-group type**: P4/mmm
**Total DFT energy (no corrections)**: -4.4629 eV per atom

Entry 2:
## LiGeOF2 (PBE-GGA)

Data for crystalline LiGeOF2 at its relaxed geometry.

extended XYZ file:
```
5
Lattice="4.2316 0.0000 0.0000 0.0000 4.2316 0.0000 0.0000 0.0000 3.7858" Properties=species:S:1:pos:R:3 pbc="T T T"
Li 0.0000 0.0000 0.0000
Ge 2.1158 2.1158 1.8929
O 2.1158 2.1158 0.0000
F 0.0000 2.1158 1.8929
F 2.1158 0.0000 1.8929
```

Computed properties:
**Relative energy among the computed polymorphs**: 0.0000 eV/atom
**Space-group type**: P4/mmm
**Total DFT energy (no corrections)**: -4.8687 eV per atom

Entry 3:
## LiGeO2F (PBE-GGA)

Data for crystalline LiGeO2F at its relaxed geometry.

extended XYZ file:
```
5
Lattice="3.6523 0.0000 0.0000 0.0000 3.6523 0.0000 0.0000 0.0000 3.9914" Properties=species:S:1:pos:R:3 pbc="T T T"
Li 0.0000 0.0000 0.0000
Ge 1.8261 1.8261 1.9957
O 0.0000 1.8261 1.9957
O 1.8261 0.0000 1.9957
F 1.8261 1.8261 0.0000
```

Computed properties:
**Space-group type**: P4/mmm
**Total DFT energy (no corrections)**: -5.3895 eV per atom

Entry 4:
## LiGeO2F (PBE-GGA)

Data for crystalline LiGeO2F at its relaxed geometry.

extended XYZ file:
```
5
Lattice="3.7662 0.0000 0.0000 0.0000 3.7662 0.0000 0.0000 0.0000 3.6366" Properties=species:S:1:pos:R:3 pbc="T T T"
Li 0.0000 0.0000 0.0000
Ge 1.8831 1.8831 1.8183
O 0.0000 1.8831 0.0000
O 1.8831 0.0000 0.0000
F 0.0000 0.0000 1.8183
```

Computed properties:
**Space-group type**: P4/mmm
**Total DFT energy (no corrections)**: -4.4176 eV per atom

Entry 5:
## LiTlGePF (PBE-GGA)

Data for crystalline LiTlGePF at its relaxed geometry.

extended XYZ file:
```
5
Lattice="5.6789 -1.8216 0.0000 5.6789 1.8216 0.0000 -1.8659 0.0000 5.0990" Properties=species:S:1:pos:R:3 pbc="T T T"
Li 0.0000 0.0000 0.0000
Tl 2.8988 0.0000 1.8052
Ge 5.8597 0.0000 4.0785
P -0.1568 0.0000 2.5933
F 7.9175 0.0000 4.1695
```

Computed properties:
**Relative energy among the computed polymorphs**: 0.1701 eV/atom
**Space-group type**: Cm
**Total DFT energy (no corrections)**: -4.0726 eV per atom

Entry 6:
## LiTlGePF (PBE-GGA)

Data for crystalline LiTlGePF at its relaxed geometry.

extended XYZ file:
```
5
Lattice="3.4840 0.0000 0.0000 0.0000 1.7068 8.4473 0.0000 -1.7068 8.4473" Properties=species:S:1:pos:R:3 pbc="T T T"
Li 0.0000 0.0000 0.0000
Tl 1.7420 0.0000 11.4751
Ge 0.0000 0.0000 5.5831
P 1.7420 0.0000 14.6353
F 0.0000 0.0000 9.1573
```

Computed properties:
**Relative energy among the computed polymorphs**: 0.1114 eV/atom
**Space-group type**: Amm2
**Total DFT energy (no corrections)**: -4.1313 eV per atom

Entry 7:
## LiTlGePF (PBE-GGA)

Data for crystalline LiTlGePF at its relaxed geometry.

extended XYZ file:
```
5
Lattice="3.5419 0.0000 0.0000 1.7703 3.0682 0.0000 1.7465 1.0209 9.4632" Properties=species:S:1:pos:R:3 pbc="T T T"
Li 0.0000 0.0000 0.0000
Tl 1.7498 1.0214 3.0328
Ge 5.2947 3.0677 5.5305
P 1.7536 1.0224 6.6947
F 3.5431 2.0453 0.3852
```

Computed properties:
**Relative energy among the computed polymorphs**: 0.0000 eV/atom
**Space-group type**: P1
**Total DFT energy (no corrections)**: -4.2427 eV per atom

Entry 8:
## LiTlGePF (PBE-GGA)

Data for crystalline LiTlGePF at its relaxed geometry.

extended XYZ file:
```
5
Lattice="1.8674 1.0782 8.8632 -1.8674 1.0782 8.8632 0.0000 -2.1563 8.8632" Properties=species:S:1:pos:R:3 pbc="T T T"
Li 0.0000 0.0000 0.0000
Tl 0.0000 0.0000 21.0368
Ge 0.0000 0.0000 14.9520
P 0.0000 0.0000 7.2876
F 0.0000 0.0000 1.8041
```

Computed properties:
**Relative energy among the computed polymorphs**: 0.0775 eV/atom
**Space-group type**: R3m
**Total DFT energy (no corrections)**: -4.1651 eV per atom

Total moment across the listed records, respectively: 0.98, 0.00, 0.00, 1.98, 0.00, 0.00, 0.00, 0.00 μB per formula unit.
Energy relative to the elements, uncorrected across the listed records, respectively: -1417, -1822, -1726, -754, -837, -896, -1007, -929 meV per atom.